1.
Density functional theory data (PBE) for crystalline BaSrBi2 at its relaxed geometry.

Summary:
**Crystal system**: cubic
**Symmetry**: Fm-3m, No. 225
**Offset from the most stable computed form**: 39 meV per atom

```
BaSrBi2
1.0
0.0000 4.2533 4.2533
4.2533 0.0000 4.2533
4.2533 4.2533 0.0000
Sr Bi Ba
1 2 1
Direct
0.0000 0.0000 0.0000 Sr
0.2500 0.2500 0.2500 Bi
0.7500 0.7500 0.7500 Bi
0.5000 0.5000 0.5000 Ba
```



2.
Density functional theory data (PBE) for crystalline BaSrBi2 at its relaxed geometry.

Summary:
**Crystal system**: trigonal
**Symmetry**: R3m, No. 160
**Offset from the most stable computed form**: 53 meV per atom

```
BaSrBi2
1.0
5.4303 0.0000 0.0000
2.7152 4.7028 0.0000
2.7152 1.5676 6.9184
Ba Sr Bi
1 1 2
Direct
0.4936 0.4936 0.5192 Ba
0.6731 0.6731 0.9808 Sr
0.0870 0.0870 0.7391 Bi
0.2464 0.2464 0.2608 Bi
```



3.
Density functional theory data (PBE) for crystalline Ba3SrBi3 at its relaxed geometry.

Summary:
**Crystal system**: cubic
**Symmetry**: P2_13, No. 198

```
Ba3SrBi3
1.0
-4.1025 5.6841 -7.9781
-8.2446 -6.6747 -0.5159
-5.2902 5.9942 6.9909
Ba Sr Bi
12 4 12
Direct
0.8226 0.3226 0.1774 Ba
0.9297 0.9297 0.9297 Ba
0.8225 0.6775 0.3225 Ba
0.1774 0.8226 0.3226 Ba
0.1775 0.1775 0.1775 Ba
0.3225 0.8225 0.6775 Ba
0.0703 0.4297 0.5703 Ba
0.3226 0.1774 0.8226 Ba
0.6775 0.3225 0.8225 Ba
0.6774 0.6774 0.6774 Ba
0.5703 0.0703 0.4297 Ba
0.4297 0.5703 0.0703 Ba
0.0717 0.5717 0.9283 Sr
0.9283 0.0717 0.5717 Sr
0.4283 0.4283 0.4283 Sr
0.5717 0.9283 0.0717 Sr
0.7552 0.6294 0.0001 Bi
0.8706 0.9999 0.2552 Bi
0.0001 0.7552 0.6294 Bi
0.1294 0.4999 0.2448 Bi
0.2448 0.1294 0.4999 Bi
0.2552 0.8706 0.9999 Bi
0.9999 0.2552 0.8706 Bi
0.3706 0.5001 0.7448 Bi
0.4999 0.2448 0.1294 Bi
0.6294 0.0001 0.7552 Bi
0.7448 0.3706 0.5001 Bi
0.5001 0.7448 0.3706 Bi
```



4.
Density functional theory data (PBE) for crystalline BaSr3Bi at its relaxed geometry.

Summary:
**Crystal system**: cubic
**Symmetry**: Pm-3m, No. 221
**Offset from the most stable computed form**: 0 meV per atom

```
BaSr3Bi
1.0
-0.8658 3.4354 -5.5287
-4.2066 -4.5516 -2.1695
-4.9673 3.2557 2.8009
Sr Bi Ba
3 1 1
Direct
0.0000 0.5000 0.0000 Sr
0.0000 0.0000 0.5000 Sr
0.5000 0.0000 0.0000 Sr
0.0000 0.0000 0.0000 Bi
0.5000 0.5000 0.5000 Ba
```



Number 1: energy of formation -0.727 eV/atom. Number 2: energy of formation -0.713 eV/atom. Number 3: energy of formation -0.899 eV/atom. Number 4: energy of formation -0.285 eV/atom.